DFT (GGA+U) results for an optimized crystal structure of Tl2ZnFeF.

Lattice parameters (Å, degrees): 5.7044 5.7044 3.8928 90.00 90.00 90.00
Fractional coordinates of all 5 atoms:
1 Tl 0.0000 0.5000 0.0000
2 Tl 0.5000 0.0000 0.0000
3 Zn 0.0000 0.0000 0.5000
4 Fe 0.5000 0.5000 0.0000
5 F 0.5000 0.5000 0.5000

Calculated values
electronic total energy = -2.947 eV/atom
symmetry = P4/mmm (123)